A plane-wave DFT calculation with GGA-PBE was carried out for a relaxed Sm2AlSe crystal.

Magnetization: 0.00 μB per atom
Electronic total energy: -5.298 eV/atom
Symmetry: Cmcm (63)
Formation energy from raw total energies: -1.132 eV/atom

Cell lengths 4.160, 4.368, 11.807 Å; angles 100.66, 90.00, 90.00 degrees
Atoms (fractional coordinates):
Sm: 0.750 0.681 0.362
Sm: 0.250 0.319 0.638
Sm: 0.750 0.932 0.865
Sm: 0.250 0.068 0.135
Al: 0.250 0.463 0.925
Al: 0.750 0.537 0.075
Se: 0.250 0.193 0.385
Se: 0.750 0.807 0.615

A plane-wave DFT calculation with GGA-PBE was carried out for a relaxed Li4LaSi2 crystal.

Magnetization: 0.00 μB per atom
Electronic total energy: -3.681 eV/atom
Symmetry: P2/m (10)
Formation energy from raw total energies: -0.334 eV/atom

Cell lengths 4.384, 4.416, 7.079 Å; angles 90.00, 107.83, 90.00 degrees
Atoms (fractional coordinates):
Li: 0.193 0.500 0.385
Li: 0.319 0.000 0.636
Li: 0.807 0.500 0.615
Li: 0.681 0.000 0.364
La: 0.000 0.000 0.000
Si: 0.410 0.500 0.824
Si: 0.590 0.500 0.176

A plane-wave DFT calculation with GGA-PBE was carried out for a relaxed Ho3Rh2 crystal.

Magnetization: 0.00 μB per atom
Energy of formation from the pure elements: -702 meV per atom
Electronic total energy: -6.389 eV/atom
Symmetry: C2/m (12)

Cell lengths 4.261, 8.743, 10.350 Å; angles 96.37, 90.00, 104.10 degrees
Atoms (fractional coordinates):
Ho: 0.827 0.654 0.039
Ho: 0.173 0.346 0.961
Ho: 0.794 0.588 0.377
Ho: 0.206 0.412 0.623
Ho: 0.126 0.252 0.286
Ho: 0.874 0.748 0.714
Ho: 0.464 0.928 0.338
Ho: 0.536 0.072 0.662
Ho: 0.500 0.000 0.000
Rh: 0.639 0.278 0.468
Rh: 0.361 0.722 0.532
Rh: 0.677 0.354 0.140
Rh: 0.323 0.646 0.860
Rh: 0.972 0.945 0.172
Rh: 0.028 0.055 0.828

A plane-wave DFT calculation with GGA-PBE was carried out for a relaxed Sm4Dy2N crystal.

Magnetization: 0.00 μB per atom
Electronic total energy: -5.411 eV/atom
Symmetry: I4/mmm (139)
Formation energy from raw total energies: -0.210 eV/atom

Cell lengths 4.923, 4.923, 9.475 Å; angles 74.94, 74.94, 90.00 degrees
Atoms (fractional coordinates):
N: 0.000 0.000 0.000
Sm: 0.865 0.865 0.270
Sm: 0.135 0.135 0.730
Sm: 0.000 0.500 0.000
Sm: 0.500 0.000 0.000
Dy: 0.666 0.666 0.669
Dy: 0.334 0.334 0.331

A plane-wave DFT calculation with GGA-PBE was carried out for a relaxed TlZnOs2 crystal.

Magnetization: 0.00 μB per atom
Energy of formation from the pure elements: 875 meV per atom
Electronic total energy: -5.650 eV/atom
Symmetry: P4/mmm (123)

Cell lengths 3.174, 3.174, 6.427 Å; angles 90.00, 90.00, 90.00 degrees
Atoms (fractional coordinates):
Os: 0.000 0.000 0.960
Os: 0.000 0.000 0.540
Tl: 0.500 0.500 0.250
Zn: 0.500 0.500 0.750

A plane-wave DFT calculation with GGA-PBE was carried out for a relaxed CoRu2Pt crystal.

Magnetization: 0.44 μB per atom
Energy of formation from the pure elements: 53 meV per atom
Electronic total energy: -7.871 eV/atom
Symmetry: P4mm (99)

Cell lengths 2.707, 2.707, 7.469 Å; angles 90.00, 90.00, 90.00 degrees
Atoms (fractional coordinates):
Co: 0.000 0.000 0.494
Pt: 0.500 0.500 0.740
Ru: 0.000 0.000 0.012
Ru: 0.500 0.500 0.255

A plane-wave DFT calculation with GGA-PBE was carried out for a relaxed Rb3SmU2S6 crystal.

Magnetization: 0.50 μB per atom
Electronic total energy: -6.084 eV/atom
Symmetry: C2/m (12)
Formation energy from raw total energies: -1.504 eV/atom

Cell lengths 7.114, 7.114, 8.090 Å; angles 98.43, 98.43, 120.00 degrees
Atoms (fractional coordinates):
Rb: 0.165 0.835 0.500
Rb: 0.835 0.165 0.500
Rb: 0.500 0.500 0.500
Sm: 0.000 0.000 0.000
U: 0.333 0.667 0.000
U: 0.667 0.333 0.000
S: 0.935 0.595 0.805
S: 0.725 0.725 0.194
S: 0.065 0.405 0.195
S: 0.595 0.935 0.805
S: 0.275 0.275 0.806
S: 0.405 0.065 0.195

A plane-wave DFT calculation with GGA-PBE was carried out for a relaxed LiHf2Ru2 crystal.

Magnetization: 0.00 μB per atom
Energy of formation from the pure elements: -237 meV per atom
Electronic total energy: -8.311 eV/atom
Symmetry: P4/mbm (127)

Cell lengths 7.649, 7.649, 3.115 Å; angles 90.00, 90.00, 90.00 degrees
Atoms (fractional coordinates):
Ru: 0.146 0.646 0.500
Ru: 0.646 0.854 0.500
Ru: 0.854 0.354 0.500
Ru: 0.354 0.146 0.500
Hf: 0.352 0.852 0.000
Hf: 0.852 0.648 0.000
Hf: 0.648 0.148 0.000
Hf: 0.148 0.352 0.000
Li: 0.000 0.000 0.000
Li: 0.500 0.500 0.000

A plane-wave DFT calculation with GGA-PBE was carried out for a relaxed HoSnAu3 crystal.

Magnetization: 0.00 μB per atom
Energy of formation from the pure elements: -516 meV per atom
Electronic total energy: -4.198 eV/atom
Symmetry: Pmmn (59)

Cell lengths 4.781, 6.598, 6.883 Å; angles 90.00, 90.00, 90.00 degrees
Atoms (fractional coordinates):
Ho: 0.750 0.250 0.188
Ho: 0.250 0.750 0.812
Sn: 0.750 0.750 0.451
Sn: 0.250 0.250 0.549
Au: 0.750 0.750 0.058
Au: 0.250 0.250 0.942
Au: 0.750 0.038 0.749
Au: 0.750 0.462 0.749
Au: 0.250 0.962 0.251
Au: 0.250 0.538 0.251

A plane-wave DFT calculation with GGA-PBE was carried out for a relaxed Ba3YB crystal.

Magnetization: 0.38 μB per atom
Energy of formation from the pure elements: 632 meV per atom
Electronic total energy: -3.150 eV/atom
Symmetry: Pm-3m (221)

Cell lengths 6.037, 6.037, 6.037 Å; angles 90.00, 90.00, 90.00 degrees
Atoms (fractional coordinates):
Y: 0.500 0.500 0.500
B: 0.000 0.000 0.000
Ba: 0.000 0.500 0.000
Ba: 0.000 0.000 0.500
Ba: 0.500 0.000 0.000

A plane-wave DFT calculation with GGA-PBE was carried out for a relaxed Y4Tm5 crystal.

Magnetization: 0.00 μB per atom
Energy of formation from the pure elements: 45 meV per atom
Electronic total energy: -5.312 eV/atom
Symmetry: Immm (71)

Cell lengths 3.596, 9.013, 9.013 Å; angles 91.87, 78.48, 78.48 degrees
Atoms (fractional coordinates):
Y: 0.356 0.622 0.667
Y: 0.356 0.000 0.288
Y: 0.644 0.712 0.000
Y: 0.644 0.333 0.378
Tm: 0.000 0.041 0.959
Tm: 0.000 0.292 0.708
Tm: 0.000 0.667 0.333
Tm: 0.294 0.372 0.039
Tm: 0.706 0.961 0.628

A plane-wave DFT calculation with GGA-PBE was carried out for a relaxed Na3Ac3TaSe8 crystal.

Magnetization: 0.07 μB per atom
Electronic total energy: -5.190 eV/atom
Symmetry: R-3m (166)
Formation energy from raw total energies: -1.456 eV/atom

Cell lengths 8.728, 8.728, 8.691 Å; angles 120.17, 90.00, 120.00 degrees
Atoms (fractional coordinates):
Na: 0.000 0.000 0.000
Na: 0.000 0.500 0.000
Na: 0.500 0.500 0.000
Ac: 0.500 0.000 0.500
Ac: 0.500 0.500 0.500
Ac: 0.000 0.500 0.500
Ta: 0.000 0.000 0.500
Se: 0.249 0.499 0.248
Se: 0.751 0.501 0.752
Se: 0.782 0.565 0.280
Se: 0.218 0.435 0.720
Se: 0.782 0.998 0.280
Se: 0.218 0.002 0.720
Se: 0.215 0.998 0.280
Se: 0.785 0.002 0.720

A plane-wave DFT calculation with GGA-PBE was carried out for a relaxed Sr8PtAu2 crystal.

Magnetization: 0.00 μB per atom
Energy of formation from the pure elements: -500 meV per atom
Electronic total energy: -2.868 eV/atom
Symmetry: C2/m (12)

Cell lengths 7.403, 8.327, 8.327 Å; angles 71.83, 75.48, 75.48 degrees
Atoms (fractional coordinates):
Sr: 0.249 0.651 0.059
Sr: 0.751 0.941 0.349
Sr: 0.252 0.134 0.134
Sr: 0.748 0.866 0.866
Sr: 0.249 0.059 0.651
Sr: 0.751 0.349 0.941
Sr: 0.774 0.420 0.420
Sr: 0.226 0.580 0.580
Pt: 0.000 0.000 0.000
Au: 0.441 0.318 0.318
Au: 0.559 0.682 0.682

A plane-wave DFT calculation with GGA-PBE was carried out for a relaxed BaLi2SnS4 crystal.

Magnetization: 0.00 μB per atom
Electronic total energy: -4.286 eV/atom
Symmetry: C2/c (15)
Formation energy from raw total energies: -1.003 eV/atom

Cell lengths 8.300, 8.300, 8.055 Å; angles 120.94, 120.94, 90.96 degrees
Atoms (fractional coordinates):
Ba: 0.000 0.500 0.000
Ba: 0.000 0.500 0.500
Li: 0.500 0.000 0.000
Li: 0.500 0.000 0.500
Li: 0.000 0.000 0.500
Li: 0.500 0.500 0.000
Sn: 0.500 0.500 0.500
Sn: 0.000 0.000 0.000
S: 0.244 0.822 0.044
S: 0.678 0.256 0.456
S: 0.322 0.744 0.544
S: 0.756 0.178 0.956
S: 0.773 0.793 0.028
S: 0.707 0.727 0.472
S: 0.293 0.273 0.528
S: 0.227 0.207 0.972

A plane-wave DFT calculation with GGA-PBE was carried out for a relaxed Tb2TmRu crystal.

Magnetization: 0.00 μB per atom
Energy of formation from the pure elements: -326 meV per atom
Electronic total energy: -6.078 eV/atom
Symmetry: Pnma (62)

Cell lengths 6.299, 7.292, 9.190 Å; angles 90.00, 90.00, 90.00 degrees
Atoms (fractional coordinates):
Tb: 0.170 0.677 0.064
Tb: 0.330 0.177 0.436
Tb: 0.830 0.323 0.564
Tb: 0.670 0.823 0.936
Tb: 0.830 0.323 0.936
Tb: 0.670 0.823 0.564
Tb: 0.170 0.677 0.436
Tb: 0.330 0.177 0.064
Tm: 0.635 0.542 0.250
Tm: 0.865 0.042 0.250
Tm: 0.365 0.458 0.750
Tm: 0.135 0.958 0.750
Ru: 0.035 0.385 0.250
Ru: 0.465 0.885 0.250
Ru: 0.965 0.615 0.750
Ru: 0.535 0.115 0.750

A plane-wave DFT calculation with GGA-PBE was carried out for a relaxed AgRhBr4 crystal.

Magnetization: 0.22 μB per atom
Electronic total energy: -1.776 eV/atom
Symmetry: F-43m (216)
Formation energy from raw total energies: 1.039 eV/atom

Cell lengths 6.188, 6.188, 6.188 Å; angles 60.00, 60.00, 60.00 degrees
Atoms (fractional coordinates):
Ag: 0.000 0.000 0.000
Rh: 0.750 0.750 0.750
Br: 0.874 0.375 0.375
Br: 0.375 0.375 0.874
Br: 0.375 0.874 0.375
Br: 0.375 0.375 0.375

A plane-wave DFT calculation with GGA-PBE was carried out for a relaxed In3Ga2Pb2 crystal.

Magnetization: 0.00 μB per atom
Energy of formation from the pure elements: 40 meV per atom
Electronic total energy: -3.057 eV/atom
Symmetry: C2/m (12)

Cell lengths 4.668, 6.074, 7.104 Å; angles 95.71, 90.00, 112.59 degrees
Atoms (fractional coordinates):
In: 0.309 0.618 0.142
In: 0.000 0.000 0.000
In: 0.691 0.382 0.858
Ga: 0.092 0.183 0.631
Ga: 0.908 0.817 0.369
Pb: 0.629 0.257 0.340
Pb: 0.371 0.743 0.660

A plane-wave DFT calculation with GGA-PBE was carried out for a relaxed CdRu2W crystal.

Magnetization: 0.00 μB per atom
Energy of formation from the pure elements: 97 meV per atom
Electronic total energy: -8.008 eV/atom
Symmetry: Pmmm (47)

Cell lengths 3.093, 3.146, 7.351 Å; angles 64.70, 90.00, 90.00 degrees
Atoms (fractional coordinates):
Cd: 0.500 0.750 0.750
Ru: 0.000 0.970 0.030
Ru: 0.000 0.530 0.470
W: 0.500 0.250 0.250

A plane-wave DFT calculation with GGA-PBE was carried out for a relaxed ScBTeI2 crystal.

Magnetization: 0.01 μB per atom
Electronic total energy: -3.405 eV/atom
Symmetry: P4/mmm (123)
Formation energy from raw total energies: 0.446 eV/atom

Cell lengths 5.669, 5.669, 5.716 Å; angles 90.00, 90.00, 90.00 degrees
Atoms (fractional coordinates):
I: 0.000 0.500 0.000
I: 0.500 0.000 0.000
Sc: 0.000 0.000 0.000
B: 0.500 0.500 0.500
Te: 0.000 0.000 0.500

A plane-wave DFT calculation with GGA-PBE was carried out for a relaxed Tc2AsOs crystal.

Magnetization: 0.00 μB per atom
Energy of formation from the pure elements: 314 meV per atom
Electronic total energy: -8.839 eV/atom
Symmetry: C2/m (12)

Cell lengths 5.786, 4.838, 2.849 Å; angles 90.10, 60.30, 116.87 degrees
Atoms (fractional coordinates):
As: 0.000 0.500 0.500
Os: 0.500 0.500 0.000
Tc: 0.000 0.000 0.000
Tc: 0.500 0.000 0.500